VASP calculation (PBE) on an optimized crystal structure of Ga4Cl.

Computed properties:
* D(E_F): 4.42 states/eV per cell
* raw total energy: -12.2 eV per cell
* energy relative to the elements, uncorrected: 0.3556 eV/atom
* volume: 149.68 Å³/cell

Structure (extended XYZ):
```
5
Lattice="5.3095 0.0000 0.0000 0.0000 5.3095 0.0000 0.0000 0.0000 5.3095" Properties=species:S:1:pos:R:3 pbc="T T T"
Ga 0.0000 0.0000 0.0000
Ga 0.0000 2.6548 2.6548
Ga 2.6548 0.0000 2.6548
Ga 2.6548 2.6548 0.0000
Cl 2.6548 2.6548 2.6548
```



VASP calculation (PBE) on an optimized crystal structure of CeYS.

Computed properties:
* distance to the lowest polymorph of the same formula: 0.00 kJ per mole of atoms
* D(E_F): 5.98 states/eV per cell
* raw total energy: -20.2 eV per cell
* energy relative to the elements, uncorrected: -1.2354 eV/atom
* volume: 83.65 Å³/cell

Structure (extended XYZ):
```
3
Lattice="3.9637 0.0000 0.0000 0.0000 3.9637 0.0000 0.0000 0.0000 5.3244" Properties=species:S:1:pos:R:3 pbc="T T T"
Ce 0.0000 0.0000 0.0000
Y 1.9819 1.9819 2.6622
S 1.9819 1.9819 0.0000
```



VASP calculation (PBE) on an optimized crystal structure of SrPrEr2.

Computed properties:
* distance to the lowest polymorph of the same formula: 10.31 kJ per mole of atoms
* D(E_F): 5.89 states/eV per cell
* energy of formation: 0.2378 eV/atom
* raw total energy: -14.6 eV per cell
* volume: 146.30 Å³/cell

Structure (extended XYZ):
```
4
Lattice="1.8158 1.0483 12.8093 -1.8158 1.0483 12.8093 0.0000 -2.0967 12.8093" Properties=species:S:1:pos:R:3 pbc="T T T"
Sr 0.0000 0.0000 0.0000
Pr 0.0000 0.0000 19.2139
Er 0.0000 0.0000 3.5355
Er 0.0000 0.0000 34.8924
```



VASP calculation (PBE) on an optimized crystal structure of ScSN.

Computed properties:
* distance to the lowest polymorph of the same formula: 16.54 kJ per mole of atoms
* raw total energy: -44.0 eV per cell
* energy relative to the elements, uncorrected: -1.0671 eV/atom
* volume: 102.40 Å³/cell

Structure (extended XYZ):
```
6
Lattice="2.6251 -4.4405 0.0000 2.6251 4.4405 0.0000 0.0000 0.0000 4.3924" Properties=species:S:1:pos:R:3 pbc="T T T"
Sc 2.6251 3.3800 3.2943
Sc 2.6251 -3.3800 1.0981
S 2.6251 1.7768 1.0981
S 2.6251 -1.7768 3.2943
N 2.6251 3.4973 1.0981
N 2.6251 -3.4973 3.2943
```



VASP calculation (PBE) on an optimized crystal structure of Sr2MgFeSi.

Computed properties:
* D(E_F): 5.71 states/eV per cell
* raw total energy: -15.9 eV per cell
* energy relative to the elements, uncorrected: 0.5931 eV/atom
* volume: 150.68 Å³/cell

Structure (extended XYZ):
```
5
Lattice="5.5079 0.0000 0.0000 0.0000 5.5079 0.0000 0.0000 0.0000 4.9667" Properties=species:S:1:pos:R:3 pbc="T T T"
Sr 0.0000 2.7539 0.0000
Sr 2.7539 0.0000 0.0000
Mg 0.0000 0.0000 2.4834
Fe 0.0000 0.0000 0.0000
Si 2.7539 2.7539 2.4834
```



VASP calculation (PBE) on an optimized crystal structure of LaTlPb2.

Computed properties:
* D(E_F): 1.74 states/eV per cell
* energy of formation: -0.1121 eV/atom
* raw total energy: -15.2 eV per cell
* volume: 127.51 Å³/cell

Structure (extended XYZ):
```
4
Lattice="1.8642 1.0763 10.5925 -1.8642 1.0763 10.5925 0.0000 -2.1525 10.5925" Properties=species:S:1:pos:R:3 pbc="T T T"
La 0.0000 0.0000 0.0000
Tl 0.0000 0.0000 7.8737
Pb 0.0000 0.0000 15.9430
Pb 0.0000 0.0000 23.9513
```



VASP calculation (PBE) on an optimized crystal structure of CrRe3Hg.

Computed properties:
* distance to the lowest polymorph of the same formula: 0.00 kJ per mole of atoms
* D(E_F): 6.38 states/eV per cell
* energy of formation: 1.6576 eV/atom
* raw total energy: -39.0 eV per cell
* volume: 90.83 Å³/cell

Structure (extended XYZ):
```
5
Lattice="4.4952 0.0000 0.0000 0.0000 4.4952 0.0000 0.0000 0.0000 4.4952" Properties=species:S:1:pos:R:3 pbc="T T T"
Cr 0.0000 0.0000 0.0000
Re 0.0000 0.0000 2.2476
Re 0.0000 2.2476 0.0000
Re 2.2476 0.0000 0.0000
Hg 2.2476 2.2476 2.2476
```



VASP calculation (PBE) on an optimized crystal structure of Tb2Pm2Dy4Er.

Computed properties:
* D(E_F): 11.85 states/eV per cell
* energy of formation: -0.0009 eV/atom
* raw total energy: -41.7 eV per cell
* volume: 289.40 Å³/cell

Structure (extended XYZ):
```
9
Lattice="9.3347 -1.7992 0.0000 9.3347 1.7992 0.0000 -4.1454 0.0000 8.6156" Properties=species:S:1:pos:R:3 pbc="T T T"
Tb 2.0714 0.0000 1.4087
Tb 12.4527 0.0000 7.2069
Pm 4.1703 0.0000 4.3150
Pm 10.3537 0.0000 4.3006
Dy -0.0011 0.0000 7.1927
Dy 8.2884 0.0000 1.4335
Dy 6.2357 0.0000 7.1820
Dy 14.5251 0.0000 1.4229
Er -2.0727 0.0000 4.3078
```